ScMnRh | GGA-PBEsol | relaxed

a = 5.886 Å, b = 5.886 Å, c = 5.886 Å
α = 90.00°, β = 90.00°, γ = 90.00°
Space group F-43m (No. 216)
Symmetry-distinct sites (fractional):
Sc: 0.000 0.000 0.000 x4
Mn: 0.250 0.250 0.750 x4
Rh: 0.000 0.000 0.500 x4

Computed properties:
Final energy ... -7.99 eV per atom
Volume ... 17.0 Å³/atom

***

MgScP2Cl | GGA-PBEsol | relaxed

a = 4.732 Å, b = 4.732 Å, c = 4.673 Å
α = 90.00°, β = 90.00°, γ = 90.00°
Space group P4/mmm (No. 123)
Symmetry-distinct sites (fractional):
Mg: 0.000 0.000 0.000 x1
Sc: 0.500 0.500 0.500 x1
P: 0.000 0.500 0.000 x2
Cl: 0.000 0.000 0.500 x1

Computed properties:
Volume ... 20.9 Å³/atom
Uncorrected formation energy ... -0.062 eV/atom

***

LiSc3C | GGA-PBEsol | relaxed

a = 4.546 Å, b = 4.546 Å, c = 4.546 Å
α = 90.00°, β = 90.00°, γ = 90.00°
Space group Pm-3m (No. 221)
Symmetry-distinct sites (fractional):
Li: 0.000 0.000 0.000 x1
Sc: 0.000 0.500 0.500 x3
C: 0.500 0.500 0.500 x1

Computed properties:
Final energy ... -6.47 eV per atom
Volume ... 18.8 Å³/atom

***

InNiPt2 | GGA-PBEsol | relaxed

a = 3.956 Å, b = 3.956 Å, c = 7.655 Å
α = 90.00°, β = 90.00°, γ = 90.00°
Space group I-4m2 (No. 119)
Symmetry-distinct sites (fractional):
In: 0.000 0.000 0.000 x2
Ni: 0.000 0.500 0.750 x2
Pt: 0.000 0.000 0.500 x2
Pt: 0.000 0.500 0.250 x2

Computed properties:
Final energy ... -6.01 eV per atom
Volume ... 15.0 Å³/atom

***

KH2PbAu | GGA-PBEsol | relaxed

a = 4.317 Å, b = 4.317 Å, c = 5.758 Å
α = 90.00°, β = 90.00°, γ = 90.00°
Space group P4/mmm (No. 123)
Symmetry-distinct sites (fractional):
K: 0.000 0.000 0.000 x1
H: 0.000 0.500 0.000 x2
Pb: 0.500 0.500 0.500 x1
Au: 0.000 0.000 0.500 x1

Computed properties:
Final energy ... -2.40 eV per atom
Volume ... 21.5 Å³/atom

***

NpGe3 | GGA-PBEsol | relaxed

a = 4.141 Å, b = 4.141 Å, c = 4.141 Å
α = 90.00°, β = 90.00°, γ = 90.00°
Space group Pm-3m (No. 221)
Symmetry-distinct sites (fractional):
Np: 0.000 0.000 0.000 x1
Ge: 0.000 0.500 0.500 x3

Computed properties:
Final energy ... -7.37 eV per atom
Volume ... 17.8 Å³/atom

***

Results for calculated density: 6.605; 2.644; 2.719; 15.628; 6.891; 10.639 (in g/cm³, following the order of the records).
Results for spin magnetization: 1.09; 0.00; 0.05; 0.01; 0.00; 0.68 (in μB per atom, following the order of the records).